Material: La2ZnPt7
Method: DFT, PBE
State: relaxed Values from VASP.

Structure (Quantum ESPRESSO input):
```
&SYSTEM
  ibrav = 0, nat = 10, ntyp = 3
/
ATOMIC_SPECIES
La 138.91 La.upf
Zn 65.41 Zn.upf
Pt 195.08 Pt.upf
ATOMIC_POSITIONS crystal
La 0.000 0.500 0.238
La 0.500 0.000 0.762
Zn 0.000 0.000 0.500
Pt 0.000 0.000 0.000
Pt 0.000 0.500 0.643
Pt 0.000 0.500 0.849
Pt 0.500 0.000 0.151
Pt 0.500 0.000 0.357
Pt 0.500 0.500 0.000
Pt 0.500 0.500 0.500
CELL_PARAMETERS angstrom
3.997 0.000 0.000
0.000 3.997 0.000
0.000 0.000 12.556
```

Summary:
formation enthalpy at 0 K = -68.0 kJ per mole of atoms
D(E_F) = 8.22 states/eV per cell